VASP calculation (GGA-PBE) on a relaxed NaGePbBr5 crystal.

Cell and atoms, written as CIF:
```
data_NaGePbBr5
_chemical_formula_sum 'Na4 Ge4 Pb4 Br20'
_cell_length_a 10.4332
_cell_length_b 11.3654
_cell_length_c 10.5367
_cell_angle_alpha 90.00
_cell_angle_beta 112.07
_cell_angle_gamma 90.00
_space_group_name_H-M_alt 'C 1 2/c 1'
_space_group_IT_number 15
loop_
_space_group_symop_operation_xyz
'x,y,z'
'-x,-y,-z'
'-x,y,-z+1/2'
'x,-y,z+1/2'
'x+1/2,y+1/2,z'
'-x+1/2,-y+1/2,-z'
'-x+1/2,y+1/2,-z+1/2'
'x+1/2,-y+1/2,z+1/2'
loop_
_atom_site_label
_atom_site_fract_x
_atom_site_fract_y
_atom_site_fract_z
Na1 0.0000 0.0718 0.2500
Ge1 0.0000 0.4827 0.2500
Pb1 0.2500 0.2500 0.0000
Br1 0.0000 0.1901 0.7500
Br2 0.0023 0.3249 0.0777
Br3 0.2095 0.0131 0.1115
```

Fermi-level density of states, states/eV per atom: 0.00
Total energy, Ry/atom: -0.2306